# BaHo2Tm

An optimized crystal structure of BaHo2Tm (PBE, Alexandria).

Output
The total magnetic moment is 0.0094 μB/atom. As for the formation energy: 0.2335 eV/atom. Its symmetry is R-3m, No. 166.

extended XYZ file:
```
4
Lattice="-2.1390 -0.3354 -2.8450 1.3333 -1.1436 -3.1139 -2.8109 -12.5239 1.3433" Properties=species:S:1:pos:R:3 pbc="T T T"
Tm -1.8083 -7.0014 -2.3078
Ho -2.0923 -9.1233 0.4022
Ho -1.5243 -4.8796 -5.0178
Ba 0.0000 0.0000 0.0000
```

---

# Re2As

An optimized crystal structure of Re2As (PBE, Alexandria).

Output
The total magnetic moment is 0.0000 μB/atom. As for the formation energy: 0.2224 eV/atom. Its symmetry is Cm, No. 8.

extended XYZ file:
```
6
Lattice="1.1343 -3.8994 3.8387 3.6608 -3.4977 2.3649 1.9797 3.3807 4.3153" Properties=species:S:1:pos:R:3 pbc="T T T"
Re 4.5876 -2.6669 7.1374
Re 3.3333 -3.7054 4.7040
Re 5.7506 -5.1118 8.4645
Re 3.3391 1.0787 6.0181
As 6.7227 -4.0640 10.4165
As 2.2368 -0.9269 3.5818
```

---

# SrS2O

An optimized crystal structure of SrS2O (PBE, Alexandria).

Output
The total magnetic moment is 0.0000 μB/atom. The value obtained for the uncorrected formation energy is -0.6347 eV/atom. Its symmetry is R-3m, No. 166.

extended XYZ file:
```
4
Lattice="2.7354 0.0000 5.9208 -1.3677 2.3689 5.9208 -1.3677 -2.3689 5.9208" Properties=species:S:1:pos:R:3 pbc="T T T"
Sr 0.0000 0.0000 8.8811
S 0.0000 0.0000 16.0952
S 0.0000 0.0000 1.6670
O 0.0000 0.0000 0.0000
```

---

# LaTb2PrSm5

An optimized crystal structure of LaTb2PrSm5 (PBE, Alexandria).

Output
The total magnetic moment is 0.0000 μB/atom. As for the formation energy: 0.2628 eV/atom. Its symmetry is I4/mcm, No. 140.

extended XYZ file:
```
18
Lattice="8.7932 0.0000 0.0000 0.0000 8.7932 0.0000 -4.3966 -4.3966 8.0361" Properties=species:S:1:pos:R:3 pbc="T T T"
La 0.0000 0.0000 4.0181
La 4.3966 4.3966 4.0181
Tb 1.0528 3.3438 0.0000
Tb 5.4494 1.0528 0.0000
Tb 3.3438 7.7404 0.0000
Tb 7.7404 5.4494 0.0000
Pr 0.0000 4.3966 4.0181
Pr 4.3966 0.0000 4.0181
Sm 7.0470 2.6504 2.1418
Sm 2.6504 -1.7462 5.8943
Sm -2.6504 1.7462 5.8943
Sm -1.7462 -2.6504 5.8943
Sm 1.7462 2.6504 5.8943
Sm 6.1429 7.0470 2.1418
Sm 2.6504 1.7462 2.1418
Sm 1.7462 6.1429 2.1418
Sm 4.3966 4.3966 0.0000
Sm 0.0000 0.0000 0.0000
```

---

# ZrTc2

An optimized crystal structure of ZrTc2 (PBE, Alexandria).

Output
The total magnetic moment is 0.0000 μB/atom. The polymorph energy (0 for the lowest one) is 0 meV/atom. As for the formation energy: -0.3117 eV/atom. Its symmetry is P6_3/mmc, No. 194.

extended XYZ file:
```
12
Lattice="-4.5197 -2.6454 0.3267 3.4799 -0.2578 3.9187 -3.7532 6.8799 3.7856" Properties=species:S:1:pos:R:3 pbc="T T T"
Zr 0.5739 -0.6147 2.9629
Zr -3.9692 2.0294 3.6583
Zr -5.3669 4.5914 5.0680
Zr -0.8237 1.9473 4.3726
Tc 0.0000 0.0000 0.0000
Tc -1.8766 3.4399 1.8928
Tc -2.3961 -0.6417 3.7932
Tc -2.3969 4.6184 4.2377
Tc -1.8906 0.7695 1.7296
Tc -4.0877 -0.5164 1.8884
Tc -0.7053 4.4931 6.1425
Tc -2.9023 3.2072 6.3013
```

---

# LaMg2GaRu

An optimized crystal structure of LaMg2GaRu (PBE, Alexandria).

Output
The total magnetic moment is 0.0000 μB/atom. As for the formation energy: -0.1952 eV/atom. Its symmetry is P4/mmm, No. 123.

extended XYZ file:
```
5
Lattice="4.9365 0.0000 0.0000 0.0000 4.9365 0.0000 0.0000 0.0000 4.8373" Properties=species:S:1:pos:R:3 pbc="T T T"
Ru 0.0000 0.0000 0.0000
Mg 0.0000 2.4682 0.0000
Mg 2.4682 0.0000 0.0000
Ga 0.0000 0.0000 2.4186
La 2.4682 2.4682 2.4186
```